No. 1
This record from Alexandria via LeMat-Bulk describes a geometry-optimized Th4SnSb2 structure. The functional is GGA-PBE.

Computed properties:
space-group type	No. 63
energy relative to the elements, uncorrected	-498	meV/atom

```
Th4SnSb2
1.0
4.3605 0.0000 0.0000
-2.1802 6.9235 0.0000
0.0000 0.0000 15.4924
Th Sn Sb
8 2 4
Cartesian
0.0000 1.1305 3.8731
0.0000 2.8417 13.4664
2.1802 4.0818 2.0259
2.1802 0.0000 7.7462
2.1802 4.0818 5.7203
0.0000 2.8417 9.7721
2.1802 0.0000 0.0000
2.1802 5.7930 11.6193
2.1802 1.1960 11.6193
0.0000 5.7275 3.8731
2.1802 4.8665 14.5358
0.0000 2.0570 6.7896
2.1802 4.8665 8.7027
0.0000 2.0570 0.9565
```

=====

No. 2
This record from Alexandria via LeMat-Bulk describes a geometry-optimized Th4Sn2Sb structure. The functional is GGA-PBE.

Computed properties:
space-group type	No. 63
energy relative to the elements, uncorrected	-434	meV/atom

```
Th4Sn2Sb
1.0
-3.5632 -1.1413 2.8377
5.1015 0.9967 2.9210
-4.0771 16.4647 1.5024
Sn Th Sb
4 8 2
Cartesian
0.8984 1.2026 1.6118
-0.6182 7.3273 2.1707
-1.9207 8.9928 5.0905
-3.4373 15.1175 5.6494
-1.7816 -0.5706 1.4189
0.0317 1.9023 4.6902
0.0346 4.2514 1.7533
-2.5705 14.4178 2.5710
-0.9316 5.7922 5.0452
-3.8202 7.6617 2.1701
-2.5735 12.0687 5.5079
-1.6073 10.5279 2.2160
2.0056 4.5044 4.3299
-4.5444 11.8157 2.9313
```

=====

No. 3
This record from Alexandria via LeMat-Bulk describes a geometry-optimized Th2SnSb3 structure. The functional is GGA-PBE.

Computed properties:
space-group type	No. 115
energy relative to the elements, uncorrected	-725	meV/atom

```
Th2SnSb3
1.0
-1.5248 -3.1765 -2.6722
1.8775 -3.0667 2.5742
-7.6485 -0.5102 4.9706
Th Sb Sn
2 3 1
Cartesian
-1.2134 -1.6769 2.6857
-6.2588 -1.9549 2.2359
-3.5117 -1.7717 0.4506
-3.9604 -1.8602 4.4710
0.0000 0.0000 0.0000
0.1764 -3.1216 -0.0490
```

=====

No. 4
This record from Alexandria via LeMat-Bulk describes a geometry-optimized Th7Sn2Sb2 structure. The functional is GGA-PBE.

Computed properties:
space-group type	No. 65
energy relative to the elements, uncorrected	-91	meV/atom

```
Th7Sn2Sb2
1.0
7.2179 -0.0029 -0.6531
0.0032 7.2654 0.0032
-1.1016 -0.0027 7.1632
Th Sn Sb
7 2 2
Cartesian
0.0000 0.0000 0.0000
-0.5467 5.1934 3.5815
3.0573 1.9112 3.2575
3.0623 5.3486 3.2557
6.6663 2.0664 2.9318
2.5122 5.1906 6.8374
3.6074 2.0692 -0.3241
1.0517 3.6317 1.1192
5.0679 3.6281 5.3941
4.9145 7.2624 1.5172
1.2051 -0.0025 4.9960
```

=====

No. 5
This record from Alexandria via LeMat-Bulk describes a geometry-optimized Th4SnSb structure. The functional is GGA-PBE.

Computed properties:
space-group type	No. 10
energy relative to the elements, uncorrected	-363	meV/atom

```
Th4SnSb
1.0
5.8643 0.0110 -0.0005
-0.0094 5.8589 -0.2506
-2.9443 -2.4949 10.8171
Sn Th Sb
2 8 2
Cartesian
4.3913 4.4016 -0.1881
-1.4807 -1.0267 10.7542
1.4581 4.4650 1.3940
-1.4840 1.8353 9.0469
4.3947 1.5397 1.5192
1.4548 1.7543 6.8936
-1.4727 -1.1803 7.0192
4.3833 4.5552 3.5468
1.4525 -1.0901 9.1720
1.4558 1.6206 3.6724
1.4600 -1.2420 5.4083
-1.4768 1.6820 5.2833
```

=====

No. 6
This record from Alexandria via LeMat-Bulk describes a geometry-optimized Th8Sn4Sb3 structure. The functional is GGA-PBE.

Computed properties:
space-group type	No. 12
energy relative to the elements, uncorrected	-522	meV/atom

```
Th8Sn4Sb3
1.0
-2.0086 -3.8912 7.8514
4.4113 -4.6074 -6.2903
6.2099 6.4474 -0.3513
Th Sn Sb
8 4 3
Cartesian
5.7569 3.6627 -1.8474
0.6815 -3.4209 6.1612
6.9659 -0.5618 -1.0639
3.8553 -3.7974 -0.8842
4.8644 -1.8227 -4.7943
4.7573 1.7462 2.0940
7.9311 1.3696 -4.9515
1.6468 -1.4894 2.2737
2.2056 -2.3037 -3.1451
3.1050 3.2237 -0.1757
0.0000 0.0000 0.0000
-1.0043 -1.9456 3.9257
2.1007 1.2781 3.7500
4.3063 -1.0256 0.6049
1.2013 -4.2493 0.7805
```

=====

No. 7
This record from Alexandria via LeMat-Bulk describes a geometry-optimized Th3SnSb structure. The functional is GGA-PBE.

Computed properties:
space-group type	No. 2
energy relative to the elements, uncorrected	-561	meV/atom

```
Th3SnSb
1.0
8.9671 -1.0692 -0.3450
3.4559 5.2819 0.6898
3.8617 2.3033 6.2875
Th Sn Sb
6 2 2
Cartesian
5.2565 3.9088 1.1637
7.6345 1.6401 3.4343
10.7681 1.3623 1.6383
5.5166 5.1536 4.9940
8.6502 4.8758 3.1981
11.0281 2.6072 5.4687
8.3573 3.0523 0.4584
7.9273 3.4637 6.1741
11.8630 4.2736 2.5828
4.4216 2.2424 4.0496
```

=====

No. 8
This record from Alexandria via LeMat-Bulk describes a geometry-optimized Ti8Sn2Sb structure. The functional is GGA-PBE.

Computed properties:
space-group type	No. 12
energy relative to the elements, uncorrected	-283	meV/atom

```
Ti8Sn2Sb
1.0
4.8142 0.0000 0.0000
0.0000 5.2005 0.5151
-2.4071 -1.4381 7.8362
Sn Ti Sb
2 8 1
Cartesian
0.0000 3.7084 2.7364
2.4071 0.0540 5.6149
2.4071 0.0407 2.7650
0.0000 3.7217 5.5863
2.4071 2.5451 1.6509
0.0000 1.0999 3.8474
0.0000 1.2173 6.7004
2.4071 2.4929 7.4911
0.0000 1.2695 0.8602
2.4071 2.6625 4.5039
2.4071 0.0000 0.0000
```